[1]
# InGaHgBi (PBE, optimized geometry)
# - E_form: 14.8 meV/atom
# - DOS(E_F): 0.243 states/eV per atom
# - Total magnetization: 0.000 μB per cell
# - Crystal system: tetragonal
data_InGaHgBi
_symmetry_space_group_name_H-M 'P 4/n m m'
_symmetry_Int_Tables_number 129
_cell_length_a 4.9708
_cell_length_b 4.9708
_cell_length_c 8.6959
_cell_angle_alpha 90.00
_cell_angle_beta 90.00
_cell_angle_gamma 90.00
loop_
_symmetry_equiv_pos_as_xyz
'x,y,z'
'-x,-y,-z'
'-y+1/2,x,z'
'y+1/2,-x,-z'
'-x+1/2,-y+1/2,z'
'x+1/2,y+1/2,-z'
'y,-x+1/2,z'
'-y,x+1/2,-z'
'x+1/2,-y,-z'
'-x+1/2,y,z'
'-y,-x,-z'
'y,x,z'
'-x,y+1/2,-z'
'x,-y+1/2,z'
'y+1/2,x+1/2,-z'
'-y+1/2,-x+1/2,z'
loop_
_atom_site_label
_atom_site_type_symbol
_atom_site_fract_x
_atom_site_fract_y
_atom_site_fract_z
In1 In 0.2500 0.2500 0.2461
Ga1 Ga 0.2500 0.7500 0.5000
Hg1 Hg 0.2500 0.7500 0.0000
Bi1 Bi 0.2500 0.2500 0.7046


[2]
# Sm12Ho7Tm (PBE, optimized geometry)
# - E_form: 281.2 meV/atom
# - DOS(E_F): 1.109 states/eV per atom
# - Total magnetization: 0.000 μB per cell
# - Crystal system: trigonal
data_Sm12Ho7Tm
_symmetry_space_group_name_H-M 'R -3'
_symmetry_Int_Tables_number 148
_symmetry_space_group_name_Hall '-R 3'
_cell_length_a 12.8611
_cell_length_b 12.8611
_cell_length_c 13.9893
_cell_angle_alpha 90.00
_cell_angle_beta 90.00
_cell_angle_gamma 120.00
loop_
_atom_site_label
_atom_site_type_symbol
_atom_site_fract_x
_atom_site_fract_y
_atom_site_fract_z
Sm1 Sm 0.0011 0.5668 0.2496
Sm2 Sm 0.0669 0.1990 0.8457
Ho1 Ho 0.0000 0.0000 0.0000
Ho2 Ho 0.0672 0.8693 0.3498
Tm1 Tm 0.0000 0.0000 0.5000


[3]
# ReWC2 (PBE, optimized geometry)
# - E_form: 963.9 meV/atom
# - DOS(E_F): 0.920 states/eV per atom
# - Total magnetization: 0.000 μB per cell
# - Crystal system: cubic
data_ReWC2
_symmetry_space_group_name_H-M 'F m -3 m'
_symmetry_Int_Tables_number 225
_symmetry_space_group_name_Hall '-F 4 2 3'
_cell_length_a 5.4366
_cell_length_b 5.4366
_cell_length_c 5.4366
_cell_angle_alpha 90.00
_cell_angle_beta 90.00
_cell_angle_gamma 90.00
loop_
_atom_site_label
_atom_site_type_symbol
_atom_site_fract_x
_atom_site_fract_y
_atom_site_fract_z
Re1 Re 0.0000 0.0000 0.0000
W1 W 0.0000 0.0000 0.5000
C1 C 0.2500 0.2500 0.2500


[4]
# Ag2RuRh (PBE, optimized geometry)
# - E_form: 418.8 meV/atom
# - DOS(E_F): 1.340 states/eV per atom
# - Total magnetization: 2.665 μB per cell
# - Crystal system: trigonal
data_Ag2RuRh
_symmetry_space_group_name_H-M 'R -3 m'
_symmetry_Int_Tables_number 166
_symmetry_space_group_name_Hall '-R 3 2"'
_cell_length_a 2.7694
_cell_length_b 2.7694
_cell_length_c 28.4922
_cell_angle_alpha 90.00
_cell_angle_beta 90.00
_cell_angle_gamma 120.00
loop_
_atom_site_label
_atom_site_type_symbol
_atom_site_fract_x
_atom_site_fract_y
_atom_site_fract_z
Ag1 Ag 0.0000 0.0000 0.2499
Ru1 Ru 0.0000 0.0000 0.0000
Rh1 Rh 0.0000 0.0000 0.5000


[5]
# SrLa2AgRu (PBE, optimized geometry)
# - E_form: -52.1 meV/atom
# - DOS(E_F): 1.004 states/eV per atom
# - Total magnetization: 0.000 μB per cell
# - Crystal system: tetragonal
data_SrLa2AgRu
_symmetry_space_group_name_H-M 'P 4/m m m'
_symmetry_Int_Tables_number 123
_symmetry_space_group_name_Hall '-P 4 2'
_cell_length_a 5.3228
_cell_length_b 5.3228
_cell_length_c 5.7434
_cell_angle_alpha 90.00
_cell_angle_beta 90.00
_cell_angle_gamma 90.00
loop_
_atom_site_label
_atom_site_type_symbol
_atom_site_fract_x
_atom_site_fract_y
_atom_site_fract_z
Sr1 Sr 0.0000 0.0000 0.0000
La1 La 0.0000 0.5000 0.5000
Ag1 Ag 0.5000 0.5000 0.0000
Ru1 Ru 0.5000 0.5000 0.5000


[6]
# SrAsP2 (PBE, optimized geometry)
# - E_form: 191.3 meV/atom
# - DOS(E_F): 0.741 states/eV per atom
# - Total magnetization: 0.000 μB per cell
# - Crystal system: cubic
data_SrAsP2
_symmetry_space_group_name_H-M 'F -4 3 m'
_symmetry_Int_Tables_number 216
_symmetry_space_group_name_Hall 'F -4 2 3'
_cell_length_a 7.0359
_cell_length_b 7.0359
_cell_length_c 7.0359
_cell_angle_alpha 90.00
_cell_angle_beta 90.00
_cell_angle_gamma 90.00
loop_
_atom_site_label
_atom_site_type_symbol
_atom_site_fract_x
_atom_site_fract_y
_atom_site_fract_z
Sr1 Sr 0.0000 0.0000 0.0000
As1 As 0.2500 0.2500 0.7500
P1 P 0.0000 0.0000 0.5000
P2 P 0.2500 0.2500 0.2500


[7]
# Y8Tm4Zr (PBE, optimized geometry)
# - E_form: 216.4 meV/atom
# - DOS(E_F): 1.524 states/eV per atom
# - Total magnetization: 3.146 μB per cell
# - Crystal system: trigonal
data_Y8Tm4Zr
_symmetry_space_group_name_H-M 'R -3 m'
_symmetry_Int_Tables_number 166
_symmetry_space_group_name_Hall '-R 3 2"'
_cell_length_a 7.2387
_cell_length_b 7.2387
_cell_length_c 27.1031
_cell_angle_alpha 90.00
_cell_angle_beta 90.00
_cell_angle_gamma 120.00
loop_
_atom_site_label
_atom_site_type_symbol
_atom_site_fract_x
_atom_site_fract_y
_atom_site_fract_z
Y1 Y 0.0000 0.0000 0.2164
Y2 Y 0.0278 0.5139 0.7684
Tm1 Tm 0.0000 0.0000 0.0000
Tm2 Tm 0.0000 0.5000 0.0000
Zr1 Zr 0.0000 0.0000 0.5000